3
Lattice="4.879 0.000 0.000 -2.439 4.225 0.000 0.000 0.000 4.520" Properties=species:S:1:pos:R:3 comment="PBE AcCeGe, relaxed" sg="P3m1 (156)" e_tot_ev_per_fu=-15.49 n_ef_per_ev_cell=7.0 e_form_ev_per_fu=-0.83 pbc="T T T"
Ac 0.000 0.000 0.000
Ce 2.439 1.408 2.033
Ge 0.000 2.817 2.812

10
Lattice="9.809 -2.247 0.000 9.809 2.247 0.000 -2.266 0.000 8.452" Properties=species:S:1:pos:R:3 comment="PBE Ac5CeGe4, relaxed" sg="C2/m (12)" e_tot_ev_per_fu=-49.82 n_ef_per_ev_cell=10.7 e_form_ev_per_fu=-4.87 pbc="T T T"
Ac 0.000 0.000 0.000
Ac 5.068 0.000 5.554
Ac 6.217 0.000 1.374
Ac 11.136 0.000 7.078
Ac 12.284 0.000 2.898
Ce -1.133 0.000 4.226
Ge 1.884 0.000 5.023
Ge 9.192 0.000 2.210
Ge 8.160 0.000 6.242
Ge 15.468 0.000 3.428